Here is an optimized crystal structure of HoVAgO4 from the Alexandria database. Energies are from PBE with a Hubbard U.

E_tot   -98.17 eV for the cell shown
Total magnetic moment   2.00 Bohr magnetons per cell
SG   P2_1/m (11)

Lattice parameters (Å, degrees): 5.9546 6.1152 6.8474 90.00 110.13 90.00
Element x y z (fractional)
Ho  0.1831  0.2500  0.0373
Ho  0.8169  0.7500  0.9627
V  0.2563  0.7500  0.8130
V  0.7437  0.2500  0.1870
Ag  0.4720  0.7500  0.3726
Ag  0.5280  0.2500  0.6274
O  0.0500  0.5320  0.8227
O  0.0500  0.9680  0.8227
O  0.4759  0.7500  0.6813
O  0.4931  0.7500  0.0710
O  0.5069  0.2500  0.9290
O  0.5241  0.2500  0.3187
O  0.9500  0.0320  0.1773
O  0.9500  0.4680  0.1773